Crystalline SiTcSe2 at its relaxed geometry. Source: the Alexandria database, functional GGA-PBE.

As for the total magnetization: 0.00 μB per formula unit. As for the formation energy without anion corrections: 0.456 eV/atom.

The space group is R-3m (No. 166, hexagonal axes) and the conventional cell measures 3.3758, 3.3758 and 23.3255 Å, with angles of 90.00, 90.00 and 120.00 degrees. The distinct sites, in fractional coordinates, are Si at (0.0000, 0.0000, 0.0000), Tc at (0.0000, 0.0000, 0.5000) and Se at (0.0000, 0.0000, 0.3979).

***

Crystalline SiTcSe2 at its relaxed geometry. Source: the Alexandria database, functional GGA-PBE.

As for the total magnetization: 0.00 μB per formula unit. As for the formation energy without anion corrections: 0.613 eV/atom.

The space group is F-43m (No. 216) and the conventional cell measures 6.392, 6.392 and 6.392 Å, with angles of 90.00, 90.00 and 90.00 degrees. The distinct sites, in fractional coordinates, are Si at (0.000, 0.000, 0.000), Tc at (0.250, 0.250, 0.250), Se at (0.000, 0.000, 0.500) and Se at (0.250, 0.250, 0.750).

***

Crystalline SiTcSe at its relaxed geometry. Source: the Alexandria database, functional GGA-PBE.

For the distance to the lowest polymorph of the same formula, the calculation gives 396 meV/atom. As for the total magnetization: 0.00 μB per formula unit. As for the formation energy without anion corrections: 0.355 eV/atom.

The space group is Fmm2 (No. 42) and the conventional cell measures 3.170, 4.929 and 12.519 Å, with angles of 90.00, 90.00 and 90.00 degrees. The distinct sites, in fractional coordinates, are Si at (0.000, 0.000, 0.000), Tc at (0.000, 0.000, 0.356) and Se at (0.000, 0.000, 0.690).

***

V (A^3/atom)
19.183, 16.322, 16.301
Uncorrected energy (eV per cell)
-62.81, -81.23, -72.83